No. 1
Cu2RuAu: optimized geometry, PBE.

Properties
Excess energy over the best structure of this formula in the dataset in meV/atom: 115

POSCAR file:
```
Cu2RuAu
1.0
-1.924 1.924 3.848
1.924 -1.924 3.848
1.924 1.924 -3.848
Cu Ru Au
2 1 1
Cartesian
0.000 0.000 0.000
0.000 1.924 1.924
1.924 0.000 1.924
0.000 0.000 3.848
```

No. 2
CuRu2Au: optimized geometry, PBE.

Properties
Excess energy over the best structure of this formula in the dataset in meV/atom: 261

POSCAR file:
```
CuRu2Au
1.0
-1.866 1.866 4.187
1.866 -1.866 4.187
1.866 1.866 -4.187
Cu Ru Au
1 2 1
Cartesian
0.000 0.000 0.000
1.866 0.000 2.093
0.000 1.866 2.093
0.000 0.000 4.187
```

No. 3
CuRuAu2: optimized geometry, PBE.

Properties
Excess energy over the best structure of this formula in the dataset in meV/atom: 38

POSCAR file:
```
CuRuAu2
1.0
1.416 0.818 9.008
-1.416 0.818 9.008
0.000 -1.635 9.008
Cu Ru Au
1 1 2
Cartesian
0.000 0.000 0.000
0.000 0.000 13.512
0.000 0.000 6.835
0.000 0.000 20.188
```

No. 4
CuRu2Au: optimized geometry, PBE.

Properties
Excess energy over the best structure of this formula in the dataset in meV/atom: 396

POSCAR file:
```
CuRu2Au
1.0
0.000 3.083 3.083
3.083 0.000 3.083
3.083 3.083 0.000
Cu Ru Au
1 2 1
Cartesian
0.000 0.000 0.000
1.542 1.542 1.542
4.625 4.625 4.625
3.083 3.083 3.083
```

No. 5
CuRuAu: optimized geometry, PBE.

Properties
Excess energy over the best structure of this formula in the dataset in meV/atom: 0

POSCAR file:
```
CuRuAu
1.0
1.969 -1.965 0.000
1.969 1.965 0.000
-0.051 0.000 11.532
Cu Ru Au
2 2 2
Cartesian
0.963 0.000 3.080
2.923 0.000 8.451
0.958 0.000 6.605
2.928 0.000 4.927
0.948 0.000 10.370
2.938 0.000 1.162
```

No. 6
Cu2RuAu: optimized geometry, PBE.

Properties
Excess energy over the best structure of this formula in the dataset in meV/atom: 51

POSCAR file:
```
Cu2RuAu
1.0
4.601 -1.321 0.000
4.601 1.321 0.000
-0.940 0.000 4.651
Cu Ru Au
2 1 1
Cartesian
0.000 0.000 0.000
6.558 0.000 1.230
4.037 0.000 2.229
1.532 0.000 3.577
```

No. 7
CuRu2Au: optimized geometry, PBE.

Properties
Excess energy over the best structure of this formula in the dataset in meV/atom: 0

POSCAR file:
```
CuRu2Au
1.0
2.780 0.000 0.000
0.000 2.780 0.000
0.000 0.000 7.590
Cu Ru Au
1 2 1
Cartesian
0.000 0.000 0.000
0.000 0.000 3.513
1.390 1.390 1.848
1.390 1.390 5.675
```

No. 8
CuRuAu2: optimized geometry, PBE.

Properties
Excess energy over the best structure of this formula in the dataset in meV/atom: 166

POSCAR file:
```
CuRuAu2
1.0
0.000 3.174 3.174
3.174 0.000 3.174
3.174 3.174 0.000
Cu Ru Au
1 1 2
Cartesian
0.000 0.000 0.000
4.760 4.760 4.760
1.587 1.587 1.587
3.174 3.174 3.174
```

No. 9
CuRuAu: optimized geometry, PBE.

Properties
Excess energy over the best structure of this formula in the dataset in meV/atom: 279

POSCAR file:
```
CuRuAu
1.0
-1.353 1.940 4.261
1.353 -1.940 4.261
1.353 1.940 -4.261
Cu Ru Au
1 1 1
Cartesian
0.000 0.000 0.000
0.000 0.000 5.571
0.000 0.000 2.815
```

No. 10
Cu4RuAu: optimized geometry, PBE.

Properties
Energy in eV per atom: -4.598

POSCAR file:
```
Cu4RuAu
1.0
0.000 3.414 3.414
3.414 0.000 3.414
3.414 3.414 0.000
Cu Ru Au
4 1 1
Cartesian
0.850 0.850 0.850
2.563 2.563 0.850
2.563 0.850 2.563
0.850 2.563 2.563
5.121 5.121 5.121
3.414 3.414 3.414
```

No. 11
CuRuAu2: optimized geometry, PBE.

Properties
Excess energy over the best structure of this formula in the dataset in meV/atom: 53

POSCAR file:
```
CuRuAu2
1.0
4.786 0.000 0.000
0.000 4.786 0.000
0.000 0.000 2.764
Cu Ru Au
1 1 2
Cartesian
0.000 0.000 0.000
2.393 2.393 0.000
0.000 2.393 1.382
2.393 0.000 1.382
```

No. 12
CuRuAu: optimized geometry, PBE.

Properties
Excess energy over the best structure of this formula in the dataset in meV/atom: 178

POSCAR file:
```
CuRuAu
1.0
2.763 0.000 0.000
-1.381 2.393 0.000
0.000 0.000 6.752
Cu Ru Au
1 1 1
Cartesian
0.000 0.000 0.000
1.381 0.798 2.084
0.000 1.595 4.503
```

No. 13
CuRu2Au: optimized geometry, PBE.

Properties
Excess energy over the best structure of this formula in the dataset in meV/atom: 266

POSCAR file:
```
CuRu2Au
1.0
2.764 0.000 0.000
0.000 4.079 0.000
0.000 0.000 5.216
Cu Ru Au
1 2 1
Cartesian
0.000 0.000 0.000
1.382 2.039 1.189
1.382 2.039 4.027
0.000 0.000 2.608
```

No. 14
CuRuAu2: optimized geometry, PBE.

Properties
Excess energy over the best structure of this formula in the dataset in meV/atom: 103

POSCAR file:
```
CuRuAu2
1.0
4.641 -1.360 0.000
4.641 1.360 0.000
-0.833 0.000 4.990
Cu Ru Au
1 1 2
Cartesian
0.000 0.000 0.000
4.224 0.000 2.495
1.703 0.000 3.756
6.746 0.000 1.234
```

No. 15
Cu2RuAu: optimized geometry, PBE.

Properties
Excess energy over the best structure of this formula in the dataset in meV/atom: 85

POSCAR file:
```
Cu2RuAu
1.0
2.616 0.000 0.000
0.000 4.373 0.000
-0.225 0.000 5.053
Cu Ru Au
2 1 1
Cartesian
0.368 0.000 1.151
2.022 0.000 3.902
1.308 2.187 0.000
-0.113 2.187 2.527
```

No. 16
Cu2RuAu: optimized geometry, PBE.

Properties
Excess energy over the best structure of this formula in the dataset in meV/atom: 31

POSCAR file:
```
Cu2RuAu
1.0
2.747 0.000 0.000
0.000 2.747 0.000
0.000 0.000 7.514
Cu Ru Au
2 1 1
Cartesian
0.000 0.000 0.000
1.374 1.374 1.628
0.000 0.000 3.405
1.374 1.374 5.551
```

No. 17
CuRu2Au: optimized geometry, PBE.

Properties
Excess energy over the best structure of this formula in the dataset in meV/atom: 293

POSCAR file:
```
CuRu2Au
1.0
2.803 0.000 0.000
0.000 4.495 0.000
0.000 0.000 4.722
Cu Ru Au
1 2 1
Cartesian
0.000 0.000 0.000
0.000 2.247 2.361
1.401 0.000 2.361
1.401 2.247 0.000
```

No. 18
CuRuAu2: optimized geometry, PBE.

Properties
Excess energy over the best structure of this formula in the dataset in meV/atom: 17

POSCAR file:
```
CuRuAu2
1.0
2.930 -3.903 0.000
2.930 3.903 0.000
0.000 0.000 2.738
Cu Ru Au
1 1 2
Cartesian
0.000 0.000 0.000
2.930 0.000 0.000
1.465 1.951 1.369
1.465 -1.951 1.369
```

No. 19
CuRuAu2: optimized geometry, PBE.

Properties
Excess energy over the best structure of this formula in the dataset in meV/atom: 163

POSCAR file:
```
CuRuAu2
1.0
-1.501 2.325 4.555
1.501 -2.325 4.555
1.501 2.325 -4.555
Cu Ru Au
1 1 2
Cartesian
0.000 0.000 0.000
0.000 0.000 4.555
1.501 0.000 2.144
0.000 2.325 2.410
```

No. 20
Cu2RuAu: optimized geometry, PBE.

Properties
Excess energy over the best structure of this formula in the dataset in meV/atom: 185

POSCAR file:
```
Cu2RuAu
1.0
0.000 3.075 3.075
3.075 0.000 3.075
3.075 3.075 0.000
Cu Ru Au
2 1 1
Cartesian
0.000 0.000 0.000
1.537 1.537 1.537
3.075 3.075 3.075
4.612 4.612 4.612
```